(1)
{"formula": "TmScGaTc", "functional": "PBE", "state": "optimized geometry", "n_ef_per_ev_cell": 2.41, "final_energy_ry_per_atom": -0.4699, "e_form_ev_per_atom": -0.344, "sg": "F-43m, No. 216", "cell": [[0.000, 3.373, 3.373], [3.373, 0.000, 3.373], [3.373, 3.373, 0.000]], "species": ["Tm", "Sc", "Ga", "Tc"], "frac_coords": [[0.000, 0.000, 0.000], [0.500, 0.500, 0.500], [0.250, 0.250, 0.250], [0.750, 0.750, 0.750]]}

(2)
{"formula": "Ta4TlSe", "functional": "PBE", "state": "optimized geometry", "e_form_raw_ev_per_atom": 0.606, "n_ef_per_ev_cell": 3.97, "final_energy_ry_per_atom": -0.6079, "sg": "F-43m, No. 216", "cell": [[0.000, 3.949, 3.949], [3.949, 0.000, 3.949], [3.949, 3.949, 0.000]], "species": ["Ta", "Ta", "Ta", "Ta", "Tl", "Se"], "frac_coords": [[0.124, 0.124, 0.124], [0.124, 0.124, 0.628], [0.124, 0.628, 0.124], [0.628, 0.124, 0.124], [0.750, 0.750, 0.750], [0.500, 0.500, 0.500]]}

(3)
{"formula": "ErUSb2N", "functional": "PBE", "state": "optimized geometry", "e_form_raw_ev_per_atom": -0.851, "n_ef_per_ev_cell": 7.79, "final_energy_ry_per_atom": -0.5391, "sg": "P4/nmm, No. 129", "cell": [[4.066, 0.000, 0.000], [0.000, 4.066, 0.000], [0.000, 0.000, 13.950]], "species": ["Er", "Er", "U", "U", "Sb", "Sb", "Sb", "Sb", "N", "N"], "frac_coords": [[0.250, 0.250, 0.089], [0.750, 0.750, 0.911], [0.250, 0.250, 0.577], [0.750, 0.750, 0.423], [0.250, 0.250, 0.310], [0.250, 0.250, 0.860], [0.750, 0.750, 0.140], [0.750, 0.750, 0.690], [0.250, 0.750, 0.500], [0.750, 0.250, 0.500]]}

(4)
{"formula": "Pm12InRh6", "functional": "PBE", "state": "optimized geometry", "polymorph_energy_ev_per_atom": 0.0451, "n_ef_per_ev_cell": 14.10, "final_energy_ry_per_atom": -0.4374, "e_form_ev_per_atom": -0.485, "sg": "R-3, No. 148", "cell": [[7.155, 4.131, 3.033], [-7.155, 4.131, 3.033], [0.000, -8.262, 3.033]], "species": ["Pm", "Pm", "Pm", "Pm", "Pm", "Pm", "Pm", "Pm", "Pm", "Pm", "Pm", "Pm", "In", "Rh", "Rh", "Rh", "Rh", "Rh", "Rh"], "frac_coords": [[0.048, 0.107, 0.349], [0.107, 0.349, 0.048], [0.167, 0.641, 0.462], [0.349, 0.048, 0.107], [0.359, 0.538, 0.833], [0.462, 0.167, 0.641], [0.538, 0.833, 0.359], [0.641, 0.462, 0.167], [0.651, 0.952, 0.893], [0.833, 0.359, 0.538], [0.893, 0.651, 0.952], [0.952, 0.893, 0.651], [0.500, 0.500, 0.500], [0.139, 0.713, 0.784], [0.216, 0.861, 0.287], [0.287, 0.216, 0.861], [0.713, 0.784, 0.139], [0.784, 0.139, 0.713], [0.861, 0.287, 0.216]]}

(5)
{"formula": "CoRe2Ru", "functional": "PBE", "state": "optimized geometry", "polymorph_energy_ev_per_atom": 0.0973, "n_ef_per_ev_cell": 3.63, "final_energy_ry_per_atom": -0.7555, "e_form_ev_per_atom": 0.040, "sg": "P2/m, No. 10", "cell": [[2.699, 0.000, 0.000], [0.000, 3.767, 0.000], [-0.010, 0.000, 5.364]], "species": ["Co", "Re", "Re", "Ru"], "frac_coords": [[0.000, 0.000, 0.000], [0.499, 0.500, 0.238], [0.501, 0.500, 0.762], [0.000, 0.000, 0.500]]}

(6)
{"formula": "SrLa2TlPt", "functional": "PBE", "state": "optimized geometry", "n_ef_per_ev_cell": 7.55, "final_energy_ry_per_atom": -0.3269, "e_form_ev_per_atom": -0.458, "sg": "P4/mmm, No. 123", "cell": [[5.629, 0.000, 0.000], [0.000, 5.629, 0.000], [0.000, 0.000, 5.948]], "species": ["Sr", "La", "La", "Tl", "Pt"], "frac_coords": [[0.000, 0.000, 0.000], [0.000, 0.500, 0.500], [0.500, 0.000, 0.500], [0.500, 0.500, 0.000], [0.000, 0.000, 0.500]]}

(7)
{"formula": "Ba5CaMg3", "functional": "PBE", "state": "optimized geometry", "n_ef_per_ev_cell": 24.77, "final_energy_ry_per_atom": -0.1324, "e_form_ev_per_atom": 0.021, "sg": "P6_3/mcm, No. 193", "cell": [[11.061, 0.000, 0.000], [-5.530, 9.579, 0.000], [0.000, 0.000, 7.819]], "species": ["Ba", "Ba", "Ba", "Ba", "Ba", "Ba", "Ba", "Ba", "Ba", "Ba", "Ca", "Ca", "Mg", "Mg", "Mg", "Mg", "Mg", "Mg"], "frac_coords": [[0.000, 0.325, 0.250], [0.000, 0.675, 0.750], [0.325, 0.000, 0.250], [0.325, 0.325, 0.750], [0.333, 0.667, 0.000], [0.333, 0.667, 0.500], [0.667, 0.333, 0.000], [0.667, 0.333, 0.500], [0.675, 0.000, 0.750], [0.675, 0.675, 0.250], [0.000, 0.000, 0.000], [0.000, 0.000, 0.500], [0.000, 0.333, 0.750], [0.000, 0.667, 0.250], [0.333, 0.000, 0.750], [0.333, 0.333, 0.250], [0.667, 0.000, 0.250], [0.667, 0.667, 0.750]]}

(8)
{"formula": "SrLa3Ir", "functional": "PBE", "state": "optimized geometry", "polymorph_energy_ev_per_atom": 0.0642, "n_ef_per_ev_cell": 23.09, "final_energy_ry_per_atom": -0.3913, "e_form_ev_per_atom": -0.258, "sg": "P2_1/c, No. 14", "cell": [[10.133, 0.000, 0.000], [0.000, 7.226, 0.000], [-5.378, 0.000, 9.920]], "species": ["Sr", "Sr", "Sr", "Sr", "La", "La", "La", "La", "La", "La", "La", "La", "La", "La", "La", "La", "Ir", "Ir", "Ir", "Ir"], "frac_coords": [[0.170, 0.109, 0.134], [0.170, 0.391, 0.634], [0.830, 0.609, 0.366], [0.830, 0.891, 0.866], [0.134, 0.616, 0.239], [0.134, 0.884, 0.739], [0.324, 0.019, 0.513], [0.324, 0.481, 0.013], [0.490, 0.599, 0.626], [0.490, 0.901, 0.126], [0.510, 0.099, 0.874], [0.510, 0.401, 0.374], [0.676, 0.519, 0.987], [0.676, 0.981, 0.487], [0.866, 0.116, 0.261], [0.866, 0.384, 0.761], [0.399, 0.704, 0.836], [0.399, 0.796, 0.336], [0.601, 0.204, 0.664], [0.601, 0.296, 0.164]]}

(9)
{"formula": "Sm2HoMnS5", "functional": "PBE", "state": "optimized geometry", "e_form_raw_ev_per_atom": -1.708, "n_ef_per_ev_cell": 5.81, "final_energy_ry_per_atom": -0.4834, "sg": "Cmc2_1, No. 36", "cell": [[1.945, -8.236, 0.000], [1.945, 8.236, 0.000], [0.000, 0.000, 11.873]], "species": ["Sm", "Sm", "Sm", "Sm", "Ho", "Ho", "Mn", "Mn", "S", "S", "S", "S", "S", "S", "S", "S", "S", "S"], "frac_coords": [[0.119, 0.881, 0.500], [0.122, 0.878, 0.152], [0.878, 0.122, 0.652], [0.881, 0.119, 0.000], [0.183, 0.817, 0.833], [0.817, 0.183, 0.333], [0.450, 0.550, 0.235], [0.550, 0.450, 0.735], [0.016, 0.984, 0.830], [0.301, 0.699, 0.494], [0.312, 0.688, 0.168], [0.346, 0.654, 0.825], [0.493, 0.507, 0.561], [0.507, 0.493, 0.061], [0.654, 0.346, 0.325], [0.688, 0.312, 0.668], [0.699, 0.301, 0.994], [0.984, 0.016, 0.330]]}

(10)
{"formula": "La3PmAl", "functional": "PBE", "state": "optimized geometry", "polymorph_energy_ev_per_atom": 0.5282, "n_ef_per_ev_cell": 13.60, "final_energy_ry_per_atom": -0.3122, "e_form_ev_per_atom": 0.408, "sg": "Cmmm, No. 65", "cell": [[4.249, -7.466, 0.000], [4.249, 7.466, 0.000], [0.000, 0.000, 5.536]], "species": ["La", "La", "La", "La", "La", "La", "Pm", "Pm", "Al", "Al"], "frac_coords": [[0.000, 0.500, 0.500], [0.163, 0.837, 0.000], [0.322, 0.322, 0.500], [0.500, 0.000, 0.500], [0.678, 0.678, 0.500], [0.837, 0.163, 0.000], [0.096, 0.904, 0.500], [0.904, 0.096, 0.500], [0.392, 0.608, 0.000], [0.608, 0.392, 0.000]]}

(11)
{"formula": "TmAl6Ag4", "functional": "PBE", "state": "optimized geometry", "n_ef_per_ev_cell": 3.05, "final_energy_ry_per_atom": -0.2569, "e_form_ev_per_atom": -0.011, "sg": "I-42m, No. 121", "cell": [[-3.321, 3.321, 4.920], [3.321, -3.321, 4.920], [3.321, 3.321, -4.920]], "species": ["Tm", "Al", "Al", "Al", "Al", "Al", "Al", "Ag", "Ag", "Ag", "Ag"], "frac_coords": [[0.000, 0.000, 0.000], [0.000, 0.500, 0.500], [0.107, 0.107, 0.576], [0.469, 0.893, 0.000], [0.500, 0.000, 0.500], [0.531, 0.531, 0.424], [0.893, 0.469, 0.000], [0.237, 0.573, 0.000], [0.427, 0.427, 0.664], [0.573, 0.237, 0.000], [0.763, 0.763, 0.336]]}

(12)
{"formula": "LaTaRhPb2", "functional": "PBE", "state": "optimized geometry", "n_ef_per_ev_cell": 5.97, "final_energy_ry_per_atom": -0.4342, "e_form_ev_per_atom": 0.402, "sg": "P4/mmm, No. 123", "cell": [[5.263, 0.000, 0.000], [0.000, 5.263, 0.000], [0.000, 0.000, 5.014]], "species": ["La", "Ta", "Rh", "Pb", "Pb"], "frac_coords": [[0.000, 0.000, 0.000], [0.500, 0.500, 0.000], [0.500, 0.500, 0.500], [0.000, 0.500, 0.500], [0.500, 0.000, 0.500]]}

(13)
{"formula": "CePa2F8", "functional": "PBE", "state": "optimized geometry", "e_form_raw_ev_per_atom": -3.269, "n_ef_per_ev_cell": 16.22, "final_energy_ry_per_atom": -0.5068, "sg": "C2/m, No. 12", "cell": [[6.567, -2.466, 0.000], [6.567, 2.466, 0.000], [-3.041, 0.000, 5.650]], "species": ["Ce", "Pa", "Pa", "F", "F", "F", "F", "F", "F", "F", "F"], "frac_coords": [[0.000, 0.000, 0.000], [0.230, 0.230, 0.728], [0.770, 0.770, 0.272], [0.113, 0.610, 0.628], [0.224, 0.224, 0.116], [0.390, 0.887, 0.372], [0.410, 0.410, 0.046], [0.590, 0.590, 0.954], [0.610, 0.113, 0.628], [0.776, 0.776, 0.884], [0.887, 0.390, 0.372]]}

(14)
{"formula": "Ag2P", "functional": "PBE", "state": "optimized geometry", "polymorph_energy_ev_per_atom": 0.1350, "n_ef_per_ev_cell": 1.99, "final_energy_ry_per_atom": -0.2499, "e_form_ev_per_atom": 0.305, "sg": "I4/mcm, No. 140", "cell": [[-3.355, 3.355, 2.357], [3.355, -3.355, 2.357], [3.355, 3.355, -2.357]], "species": ["Ag", "Ag", "Ag", "Ag", "P", "P"], "frac_coords": [[0.148, 0.648, 0.796], [0.352, 0.148, 0.500], [0.648, 0.852, 0.500], [0.852, 0.352, 0.204], [0.250, 0.250, 0.000], [0.750, 0.750, 0.000]]}

(15)
{"formula": "NaRuPbCl6", "functional": "PBE", "state": "optimized geometry", "e_form_raw_ev_per_atom": -0.974, "n_ef_per_ev_cell": 13.80, "final_energy_ry_per_atom": -0.2789, "sg": "P-31c, No. 163", "cell": [[6.942, 0.000, 0.000], [-3.471, 6.012, 0.000], [0.000, 0.000, 11.723]], "species": ["Na", "Na", "Ru", "Ru", "Pb", "Pb", "Cl", "Cl", "Cl", "Cl", "Cl", "Cl", "Cl", "Cl", "Cl", "Cl", "Cl", "Cl"], "frac_coords": [[0.000, 0.000, 0.000], [0.000, 0.000, 0.500], [0.333, 0.667, 0.250], [0.667, 0.333, 0.750], [0.333, 0.667, 0.750], [0.667, 0.333, 0.250], [0.055, 0.385, 0.132], [0.055, 0.669, 0.368], [0.331, 0.385, 0.368], [0.331, 0.945, 0.132], [0.385, 0.055, 0.632], [0.385, 0.331, 0.868], [0.615, 0.669, 0.132], [0.615, 0.945, 0.368], [0.669, 0.055, 0.868], [0.669, 0.615, 0.632], [0.945, 0.331, 0.632], [0.945, 0.615, 0.868]]}

(16)
{"formula": "Li2NbAs", "functional": "PBE", "state": "optimized geometry", "polymorph_energy_ev_per_atom": 0.2803, "n_ef_per_ev_cell": 2.47, "final_energy_ry_per_atom": -0.3245, "e_form_ev_per_atom": 0.221, "sg": "Fm-3m, No. 225", "cell": [[0.000, 3.104, 3.104], [3.104, 0.000, 3.104], [3.104, 3.104, 0.000]], "species": ["Li", "Li", "Nb", "As"], "frac_coords": [[0.250, 0.250, 0.250], [0.750, 0.750, 0.750], [0.000, 0.000, 0.000], [0.500, 0.500, 0.500]]}

(17)
{"formula": "Pr8Sb2Au3", "functional": "PBE", "state": "optimized geometry", "e_form_raw_ev_per_atom": -0.526, "n_ef_per_ev_cell": 15.00, "final_energy_ry_per_atom": -0.3571, "sg": "C2/m, No. 12", "cell": [[7.915, -4.152, 0.000], [7.915, 4.152, 0.000], [-0.458, 0.000, 6.459]], "species": ["Pr", "Pr", "Pr", "Pr", "Pr", "Pr", "Pr", "Pr", "Sb", "Sb", "Au", "Au", "Au"], "frac_coords": [[0.083, 0.083, 0.367], [0.112, 0.663, 0.133], [0.335, 0.335, 0.638], [0.337, 0.888, 0.867], [0.663, 0.112, 0.133], [0.665, 0.665, 0.362], [0.888, 0.337, 0.867], [0.917, 0.917, 0.633], [0.250, 0.250, 0.132], [0.750, 0.750, 0.868], [0.328, 0.672, 0.500], [0.500, 0.500, 0.000], [0.672, 0.328, 0.500]]}

(18)
{"formula": "Ba12Na15Li8N6", "functional": "PBE", "state": "optimized geometry", "e_form_raw_ev_per_atom": -0.222, "n_ef_per_ev_cell": 20.86, "final_energy_ry_per_atom": -0.2101, "sg": "R-3m, No. 166", "cell": [[6.191, 3.574, 10.980], [-6.191, 3.574, 10.980], [0.000, -7.149, 10.980]], "species": ["Ba", "Ba", "Ba", "Ba", "Ba", "Ba", "Ba", "Ba", "Ba", "Ba", "Ba", "Ba", "Na", "Na", "Na", "Na", "Na", "Na", "Na", "Na", "Na", "Na", "Na", "Na", "Na", "Na", "Na", "Li", "Li", "Li", "Li", "Li", "Li", "Li", "Li", "N", "N", "N", "N", "N", "N"], "frac_coords": [[0.020, 0.020, 0.678], [0.020, 0.678, 0.020], [0.273, 0.273, 0.639], [0.273, 0.639, 0.273], [0.322, 0.980, 0.980], [0.361, 0.727, 0.727], [0.639, 0.273, 0.273], [0.678, 0.020, 0.020], [0.727, 0.361, 0.727], [0.727, 0.727, 0.361], [0.980, 0.322, 0.980], [0.980, 0.980, 0.322], [0.084, 0.399, 0.399], [0.145, 0.646, 0.646], [0.203, 0.203, 0.203], [0.354, 0.354, 0.855], [0.354, 0.855, 0.354], [0.399, 0.084, 0.399], [0.399, 0.399, 0.084], [0.500, 0.500, 0.500], [0.601, 0.601, 0.916], [0.601, 0.916, 0.601], [0.646, 0.145, 0.646], [0.646, 0.646, 0.145], [0.797, 0.797, 0.797], [0.855, 0.354, 0.354], [0.916, 0.601, 0.601], [0.000, 0.203, 0.797], [0.000, 0.797, 0.203], [0.039, 0.039, 0.039], [0.203, 0.000, 0.797], [0.203, 0.797, 0.000], [0.797, 0.000, 0.203], [0.797, 0.203, 0.000], [0.961, 0.961, 0.961], [0.144, 0.854, 0.854], [0.146, 0.146, 0.856], [0.146, 0.856, 0.146], [0.854, 0.144, 0.854], [0.854, 0.854, 0.144], [0.856, 0.146, 0.146]]}

(19)
{"formula": "Tb5Pr3Dy3", "functional": "PBE", "state": "optimized geometry", "n_ef_per_ev_cell": 15.84, "final_energy_ry_per_atom": -0.2846, "e_form_ev_per_atom": 0.791, "sg": "P-62m, No. 189", "cell": [[9.690, 0.000, 0.000], [-4.845, 8.392, 0.000], [0.000, 0.000, 5.445]], "species": ["Tb", "Tb", "Tb", "Tb", "Tb", "Pr", "Pr", "Pr", "Dy", "Dy", "Dy"], "frac_coords": [[0.000, 0.267, 0.000], [0.267, 0.000, 0.000], [0.333, 0.667, 0.000], [0.667, 0.333, 0.000], [0.733, 0.733, 0.000], [0.000, 0.637, 0.000], [0.363, 0.363, 0.000], [0.637, 0.000, 0.000], [0.000, 0.463, 0.500], [0.463, 0.000, 0.500], [0.537, 0.537, 0.500]]}

(20)
{"formula": "NbCdPdRuI", "functional": "PBE", "state": "optimized geometry", "e_form_raw_ev_per_atom": 0.009, "polymorph_energy_ev_per_atom": 0.0000, "n_ef_per_ev_cell": 2.66, "final_energy_ry_per_atom": -0.3963, "sg": "P1, No. 1", "cell": [[3.312, 0.000, 0.000], [0.001, 3.440, 0.000], [0.170, 1.557, 9.829]], "species": ["Nb", "Cd", "Pd", "Ru", "I"], "frac_coords": [[0.000, 0.000, 0.000], [0.447, 0.697, 0.562], [0.940, 0.133, 0.705], [0.395, 0.557, 0.873], [0.462, 0.907, 0.238]]}